VASP calculation (PBE) on an optimized crystal structure of Ag2OF2.

Properties
* crystal system: triclinic
* VASP energy: -3.610 eV/atom

a = 3.6148 Å, b = 7.4572 Å, c = 10.4131 Å
α = 75.66°, β = 114.80°, γ = 61.66°
Sites, in units of the cell vectors:
Ag (0.7870, 0.7554, 0.8428)
F (0.5333, 0.4644, 0.1784)
O (0.6030, 0.5374, 0.5381)
Ag (0.2130, 0.2446, 0.1572)
F (0.4667, 0.5356, 0.8216)
Ag (0.7392, 0.7279, 0.1714)
F (0.8998, 0.0141, 0.1361)
Ag (0.2608, 0.2721, 0.8286)
F (0.1002, 0.9859, 0.8639)
O (0.3970, 0.4626, 0.4619)



VASP calculation (PBE) on an optimized crystal structure of Rb2SF.

Properties
* crystal system: tetragonal
* VASP energy: -3.423 eV/atom

a = 7.8569 Å, b = 7.8569 Å, c = 7.1388 Å
α = 56.61°, β = 56.61°, γ = 90.00°
Sites, in units of the cell vectors:
S (0.7500, 0.2500, 0.5000)
S (0.0000, 0.0000, 0.0000)
Rb (0.1925, 0.6250, 0.2500)
Rb (0.8750, 0.8075, 0.7500)
Rb (0.3750, 0.4425, 0.7500)
F (0.2500, 0.7500, 0.5000)
Rb (0.5575, 0.1250, 0.2500)
F (0.5000, 0.5000, 0.0000)



Going through the records in order, we get energy relative to the elements, uncorrected values of -0.730; -1.440 eV per atom.